# CsTl3Cr2F9

A geometry-optimized CsTl3Cr2F9 structure (PBE+U, Alexandria via LeMat-Bulk).

Output
Calculated total energy: -74.3 eV per cell

a = 6.0744 Å, b = 6.0744 Å, c = 9.1448 Å
α = 90.00°, β = 90.00°, γ = 120.00°
With the nearest neighbours (Å) after each atom.
Fractional coordinates of all 15 atoms:
F  0.0000  0.5000  0.0000  2 Cr 2.13
F  0.5000  0.0000  0.0000  2 Cr 2.13
F  0.1770  0.8230  0.2519  1 Cr 1.97
F  0.6460  0.8230  0.2519  1 Cr 1.97
F  0.3540  0.1770  0.7481  1 Cr 1.97
F  0.1770  0.3540  0.2519  1 Cr 1.97
F  0.5000  0.5000  0.0000  2 Cr 2.13
F  0.8230  0.1770  0.7481  1 Cr 1.97
F  0.8230  0.6460  0.7481  1 Cr 1.97
Tl  0.0000  0.0000  0.0000  12 F 2.96-3.04
Tl  0.3333  0.6667  0.7411  9 F 2.95-3.04
Tl  0.6667  0.3333  0.2589  9 F 2.95-3.04
Cs  0.0000  0.0000  0.5000  6 F 2.94
Cr  0.6667  0.3333  0.8671  6 F 1.97-2.13
Cr  0.3333  0.6667  0.1329  6 F 1.97-2.13